La2Sm6Ho3 | Alexandria | GGA-PBE | optimized geometry; SG = C2/m (12); offset from the most stable computed form = 0.0 meV per atom
1.0
3.097 -5.371 0.000
3.097 5.371 0.000
-2.098 0.000 11.723
La Sm Ho
2 6 3
Direct
0.167 0.833 0.000
0.833 0.167 0.000
0.082 0.415 0.745
0.251 0.251 0.255
0.415 0.082 0.745
0.585 0.918 0.255
0.749 0.749 0.745
0.918 0.585 0.255
0.000 0.000 0.500
0.335 0.665 0.500
0.665 0.335 0.500

La3SmHo3 | Alexandria | GGA-PBE | optimized geometry; SG = R-3 (148); offset from the most stable computed form = 94.3 meV per atom
1.0
4.743 2.738 6.272
-4.743 2.738 6.272
0.000 -5.477 6.272
La Sm Ho
6 2 6
Direct
0.128 0.270 0.835
0.165 0.872 0.730
0.270 0.835 0.128
0.730 0.165 0.872
0.835 0.128 0.270
0.872 0.730 0.165
0.409 0.409 0.409
0.591 0.591 0.591
0.026 0.311 0.446
0.311 0.446 0.026
0.446 0.026 0.311
0.554 0.974 0.689
0.689 0.554 0.974
0.974 0.689 0.554

La7Sm12Ho | Alexandria | GGA-PBE | optimized geometry; SG = R-3m (166); offset from the most stable computed form = 0.0 meV per atom
1.0
6.818 3.936 4.336
-6.818 3.936 4.336
0.000 -7.873 4.336
La Sm Ho
7 12 1
Direct
0.000 0.000 0.000
0.089 0.360 0.360
0.360 0.089 0.360
0.360 0.360 0.089
0.640 0.640 0.911
0.640 0.911 0.640
0.911 0.640 0.640
0.095 0.095 0.659
0.095 0.659 0.095
0.241 0.500 0.759
0.241 0.759 0.500
0.341 0.905 0.905
0.500 0.241 0.759
0.500 0.759 0.241
0.659 0.095 0.095
0.759 0.241 0.500
0.759 0.500 0.241
0.905 0.341 0.905
0.905 0.905 0.341
0.500 0.500 0.500

La2Sm3Ho4 | Alexandria | GGA-PBE | optimized geometry; SG = C2/m (12); offset from the most stable computed form = 76.9 meV per atom
1.0
8.398 -2.905 0.000
8.398 2.905 0.000
-1.926 0.000 6.205
La Sm Ho
2 3 4
Direct
0.142 0.142 0.295
0.858 0.858 0.705
0.376 0.376 0.415
0.500 0.500 0.000
0.624 0.624 0.585
0.064 0.064 0.751
0.271 0.271 0.859
0.729 0.729 0.141
0.936 0.936 0.249

La3SmHo2 | Alexandria | GGA-PBE | optimized geometry; SG = Immm (71); offset from the most stable computed form = 284.9 meV per atom
1.0
-1.750 3.007 9.911
1.750 -3.007 9.911
1.750 3.007 -9.911
La Sm Ho
3 1 2
Direct
0.000 0.000 0.000
0.311 0.811 0.500
0.689 0.189 0.500
0.500 0.000 0.500
0.137 0.637 0.500
0.863 0.363 0.500

La3Sm4Ho4 | Alexandria | GGA-PBE | optimized geometry; SG = Immm (71); offset from the most stable computed form = 0.0 meV per atom
1.0
-1.817 4.746 11.070
1.817 -4.746 11.070
1.817 4.746 -11.070
La Sm Ho
3 4 4
Direct
0.000 0.000 0.000
0.391 0.891 0.500
0.609 0.109 0.500
0.031 0.352 0.679
0.327 0.648 0.679
0.673 0.352 0.321
0.969 0.648 0.321
0.258 0.258 0.000
0.318 0.500 0.818
0.682 0.500 0.182
0.742 0.742 0.000

La6Sm2Ho5 | Alexandria | GGA-PBE | optimized geometry; SG = Pbam (55)
1.0
11.915 0.000 0.000
0.000 20.790 0.000
0.000 0.000 3.659
La Sm Ho
12 4 10
Direct
0.053 0.079 0.000
0.078 0.365 0.000
0.179 0.629 0.500
0.321 0.129 0.500
0.422 0.865 0.000
0.447 0.579 0.000
0.553 0.421 0.000
0.578 0.135 0.000
0.679 0.871 0.500
0.821 0.371 0.500
0.922 0.635 0.000
0.947 0.921 0.000
0.165 0.787 0.000
0.335 0.287 0.000
0.665 0.713 0.000
0.835 0.213 0.000
0.000 0.500 0.500
0.094 0.224 0.500
0.204 0.943 0.500
0.296 0.443 0.500
0.406 0.724 0.500
0.500 0.000 0.500
0.594 0.276 0.500
0.704 0.557 0.500
0.796 0.057 0.500
0.906 0.776 0.500

LaSm4Ho4 | Alexandria | GGA-PBE | optimized geometry; SG = I4/mmm (139)
1.0
-5.401 5.401 2.536
5.401 -5.401 2.536
5.401 5.401 -2.536
La Sm Ho
1 4 4
Direct
0.000 0.000 0.000
0.000 0.333 0.333
0.000 0.667 0.667
0.333 0.000 0.333
0.667 0.000 0.667
0.332 0.332 0.664
0.332 0.668 0.000
0.668 0.332 0.000
0.668 0.668 0.336

La2SmHo3 | Alexandria | GGA-PBE | optimized geometry; SG = C2/c (15); offset from the most stable computed form = 0.0 meV per atom
1.0
8.549 -3.485 0.000
8.549 3.485 0.000
-1.452 0.000 6.888
La Sm Ho
4 2 6
Direct
0.170 0.183 0.088
0.183 0.170 0.588
0.817 0.830 0.412
0.830 0.817 0.912
0.236 0.764 0.250
0.764 0.236 0.750
0.235 0.765 0.750
0.358 0.368 0.432
0.368 0.358 0.932
0.632 0.642 0.068
0.642 0.632 0.568
0.765 0.235 0.250

La2Sm5Ho2 | Alexandria | GGA-PBE | optimized geometry; SG = P-1 (2); offset from the most stable computed form = 0.0 meV per atom
1.0
6.114 0.000 0.000
2.904 6.071 0.000
2.846 0.215 8.329
La Sm Ho
2 5 2
Direct
0.227 0.095 0.383
0.773 0.905 0.617
0.133 0.632 0.249
0.232 0.822 0.847
0.500 0.500 0.500
0.768 0.178 0.153
0.867 0.368 0.751
0.315 0.271 0.942
0.685 0.729 0.058

LaSm6Ho3 | Alexandria | GGA-PBE | optimized geometry; SG = R3 (146)
1.0
4.965 2.866 3.978
-4.965 2.866 3.978
0.000 -5.733 3.978
La Sm Ho
1 6 3
Direct
0.000 0.000 0.000
0.173 0.827 0.499
0.331 0.669 0.999
0.499 0.173 0.827
0.669 0.999 0.331
0.827 0.499 0.173
0.999 0.331 0.669
0.255 0.255 0.255
0.500 0.500 0.500
0.746 0.746 0.746

LaSmHo3 | Alexandria | GGA-PBE | optimized geometry; SG = P2_1/m (11); offset from the most stable computed form = 244.3 meV per atom
1.0
3.665 0.000 0.000
0.000 11.638 0.000
-1.832 0.000 8.415
La Sm Ho
2 2 6
Direct
0.189 0.250 0.379
0.811 0.750 0.621
0.488 0.750 0.968
0.512 0.250 0.032
0.149 0.750 0.294
0.343 0.003 0.688
0.343 0.497 0.688
0.657 0.503 0.312
0.657 0.997 0.312
0.851 0.250 0.706

For reference, formation energy from the elements by record: 0.170, 0.132, 0.077, 0.103, 0.305, 0.138, 0.112, 0.022, 0.142, 0.067, 0.249, 0.324 eV/atom.
For reference, calculated total energy by record: -50.03, -64.62, -94.16, -41.40, -26.83, -50.45, -120.88, -41.92, -54.91, -42.01, -44.49, -43.52 eV per cell.